[1]
DFT (PBE) results for a geometry-optimized YCr2Ag structure.

The total moment comes out at 7.69 Bohr magnetons per cell. For the formation energy, the calculation gives 0.483 eV/atom. The calculated volume is 19.83 Å³ per atom. Its density of states at the Fermi level is 0.618 states/eV per atom. As for the electronic total energy: -6.658 eV/atom.

CIF file:
```
data_YCr2Ag
_cell_length_a 4.364
_cell_length_b 4.364
_cell_length_c 4.166
_cell_angle_alpha 90.00
_cell_angle_beta 90.00
_cell_angle_gamma 90.00
_symmetry_space_group_name_H-M 'P 4/m m m'
_symmetry_Int_Tables_number 123
_symmetry_space_group_name_Hall '-P 4 2'
loop_
_atom_site_label
_atom_site_type_symbol
_atom_site_fract_x
_atom_site_fract_y
_atom_site_fract_z
Y1 Y 0.000 0.000 0.000
Cr1 Cr 0.000 0.500 0.500
Ag1 Ag 0.500 0.500 0.000
```

[2]
DFT (PBE) results for a geometry-optimized PaTa2NbN6 structure.

The total moment comes out at 0.00 Bohr magnetons per cell. The value obtained for the formation energy (no corrections) is -1.078 eV/atom. The calculated volume is 12.50 Å³ per atom. Its density of states at the Fermi level is 0.494 states/eV per atom. As for the electronic total energy: -10.400 eV/atom.

CIF file:
```
data_PaTa2NbN6
_cell_length_a 5.4836
_cell_length_b 5.4836
_cell_length_c 14.3986
_cell_angle_alpha 90.00
_cell_angle_beta 90.00
_cell_angle_gamma 120.00
_symmetry_space_group_name_H-M 'R 3'
_symmetry_Int_Tables_number 146
_symmetry_space_group_name_Hall 'R 3'
loop_
_atom_site_label
_atom_site_type_symbol
_atom_site_fract_x
_atom_site_fract_y
_atom_site_fract_z
Pa1 Pa 0.0000 0.0000 0.0000
Ta1 Ta 0.0000 0.0000 0.2184
Ta2 Ta 0.0000 0.0000 0.7222
Nb1 Nb 0.0000 0.0000 0.5097
N1 N 0.0321 0.3518 0.7863
N2 N 0.0700 0.7160 0.2858
```

[3]
DFT (PBE) results for a geometry-optimized Mg3GeH structure.

The total moment comes out at 0.00 Bohr magnetons per cell. The calculated volume is 16.24 Å³ per atom. Its density of states at the Fermi level is 0.357 states/eV per atom. As for the electronic total energy: -2.598 eV/atom.

CIF file:
```
data_Mg3GeH
_cell_length_a 4.330
_cell_length_b 4.330
_cell_length_c 4.330
_cell_angle_alpha 90.00
_cell_angle_beta 90.00
_cell_angle_gamma 90.00
_symmetry_space_group_name_H-M 'P m -3 m'
_symmetry_Int_Tables_number 221
_symmetry_space_group_name_Hall '-P 4 2 3'
loop_
_atom_site_label
_atom_site_type_symbol
_atom_site_fract_x
_atom_site_fract_y
_atom_site_fract_z
Mg1 Mg 0.000 0.000 0.500
Ge1 Ge 0.500 0.500 0.500
H1 H 0.000 0.000 0.000
```

[4]
DFT (PBE) results for a geometry-optimized GaHg2BiW structure.

The total moment comes out at 2.32 Bohr magnetons per cell. For the formation energy, the calculation gives 1.085 eV/atom. The calculated volume is 26.02 Å³ per atom. Its density of states at the Fermi level is 0.624 states/eV per atom. As for the electronic total energy: -3.008 eV/atom.

CIF file:
```
data_GaHg2BiW
_cell_length_a 5.087
_cell_length_b 5.087
_cell_length_c 5.028
_cell_angle_alpha 90.00
_cell_angle_beta 90.00
_cell_angle_gamma 90.00
_symmetry_space_group_name_H-M 'P 4/m m m'
_symmetry_Int_Tables_number 123
_symmetry_space_group_name_Hall '-P 4 2'
loop_
_atom_site_label
_atom_site_type_symbol
_atom_site_fract_x
_atom_site_fract_y
_atom_site_fract_z
Ga1 Ga 0.000 0.000 0.000
Hg1 Hg 0.000 0.500 0.000
Bi1 Bi 0.500 0.500 0.500
W1 W 0.000 0.000 0.500
```